First-principles (PBE) data for Pm4Pu3Ru5 after structural relaxation, as listed in Alexandria via LeMat-Bulk.

Output
**D(E_F)**: 1.878 states/eV per atom
**Formation enthalpy at 0 K**: -0.0742 eV per atom

Structure (CIF):
```
data_Pm4Pu3Ru5
_chemical_formula_sum 'Pm4 Pu3 Ru5'
_symmetry_space_group_name_H-M 'P -1'
_symmetry_Int_Tables_number 2
_symmetry_space_group_name_Hall '-P 1'
_cell_length_a 4.904
_cell_length_b 6.352
_cell_length_c 10.382
_cell_angle_alpha 81.59
_cell_angle_beta 76.40
_cell_angle_gamma 67.33
loop_
_atom_site_label
_atom_site_type_symbol
_atom_site_fract_x
_atom_site_fract_y
_atom_site_fract_z
_atom_site_occupancy
Pm1 Pm 0.120 0.084 0.175 1
Pm2 Pm 0.145 0.715 0.496 1
Pu1 Pu 0.210 0.321 0.761 1
Pu2 Pu 0.500 0.500 0.000 1
Ru1 Ru 0.000 0.500 0.000 1
Ru2 Ru 0.399 0.441 0.259 1
Ru3 Ru 0.436 0.999 0.628 1
```

=====

First-principles (PBE) data for Pm5PuRu3 after structural relaxation, as listed in Alexandria via LeMat-Bulk.

Output
**D(E_F)**: 1.439 states/eV per atom
**Formation enthalpy at 0 K**: -0.0934 eV per atom

Structure (CIF):
```
data_Pm5PuRu3
_chemical_formula_sum 'Pm20 Pu4 Ru12'
_symmetry_space_group_name_H-M 'C 1 2/m 1'
_symmetry_Int_Tables_number 12
_symmetry_space_group_name_Hall '-C 2y'
_cell_length_a 12.383
_cell_length_b 9.196
_cell_length_c 9.814
_cell_angle_alpha 90.00
_cell_angle_beta 109.01
_cell_angle_gamma 90.00
loop_
_atom_site_label
_atom_site_type_symbol
_atom_site_fract_x
_atom_site_fract_y
_atom_site_fract_z
_atom_site_occupancy
Pm1 Pm 0.000 0.197 0.000 1
Pm2 Pm 0.035 0.000 0.348 1
Pm3 Pm 0.187 0.305 0.646 1
Pm4 Pm 0.236 0.500 0.051 1
Pu1 Pu 0.070 0.500 0.283 1
Ru1 Ru 0.000 0.500 0.000 1
Ru2 Ru 0.000 0.500 0.500 1
Ru3 Ru 0.162 0.000 0.164 1
Ru4 Ru 0.211 0.000 0.616 1
```

=====

First-principles (PBE) data for Pm3PuRu after structural relaxation, as listed in Alexandria via LeMat-Bulk.

Output
**D(E_F)**: 3.143 states/eV per atom
**Formation enthalpy at 0 K**: 0.1314 eV per atom

Structure (CIF):
```
data_Pm3PuRu
_chemical_formula_sum 'Pm3 Pu1 Ru1'
_symmetry_space_group_name_H-M 'P m -3 m'
_symmetry_Int_Tables_number 221
_symmetry_space_group_name_Hall '-P 4 2 3'
_cell_length_a 5.487
_cell_length_b 5.487
_cell_length_c 5.487
_cell_angle_alpha 90.00
_cell_angle_beta 90.00
_cell_angle_gamma 90.00
loop_
_atom_site_label
_atom_site_type_symbol
_atom_site_fract_x
_atom_site_fract_y
_atom_site_fract_z
_atom_site_occupancy
Pm1 Pm 0.000 0.000 0.500 1
Pu1 Pu 0.500 0.500 0.500 1
Ru1 Ru 0.000 0.000 0.000 1
```

=====

First-principles (PBE) data for PmPuTcRu after structural relaxation, as listed in Alexandria via LeMat-Bulk.

Output
**D(E_F)**: 1.310 states/eV per atom
**Formation enthalpy at 0 K**: 0.0399 eV per atom

Structure (CIF):
```
data_PmPuTcRu
_chemical_formula_sum 'Pm4 Pu4 Tc4 Ru4'
_symmetry_space_group_name_H-M 'F -4 3 m'
_symmetry_Int_Tables_number 216
_symmetry_space_group_name_Hall 'F -4 2 3'
_cell_length_a 6.858
_cell_length_b 6.858
_cell_length_c 6.858
_cell_angle_alpha 90.00
_cell_angle_beta 90.00
_cell_angle_gamma 90.00
loop_
_atom_site_label
_atom_site_type_symbol
_atom_site_fract_x
_atom_site_fract_y
_atom_site_fract_z
_atom_site_occupancy
Pm1 Pm 0.000 0.000 0.000 1
Pu1 Pu 0.000 0.000 0.500 1
Tc1 Tc 0.250 0.250 0.250 1
Ru1 Ru 0.250 0.250 0.750 1
```

=====

First-principles (PBE) data for PmPuZnRu after structural relaxation, as listed in Alexandria via LeMat-Bulk.

Output
**D(E_F)**: 2.485 states/eV per atom
**Formation enthalpy at 0 K**: -0.1158 eV per atom

Structure (CIF):
```
data_PmPuZnRu
_chemical_formula_sum 'Pm4 Pu4 Zn4 Ru4'
_symmetry_space_group_name_H-M 'F -4 3 m'
_symmetry_Int_Tables_number 216
_symmetry_space_group_name_Hall 'F -4 2 3'
_cell_length_a 7.036
_cell_length_b 7.036
_cell_length_c 7.036
_cell_angle_alpha 90.00
_cell_angle_beta 90.00
_cell_angle_gamma 90.00
loop_
_atom_site_label
_atom_site_type_symbol
_atom_site_fract_x
_atom_site_fract_y
_atom_site_fract_z
_atom_site_occupancy
Pm1 Pm 0.000 0.000 0.000 1
Pu1 Pu 0.000 0.000 0.500 1
Zn1 Zn 0.250 0.250 0.750 1
Ru1 Ru 0.250 0.250 0.250 1
```

=====

First-principles (PBE) data for Pm2PuZnRu2 after structural relaxation, as listed in Alexandria via LeMat-Bulk.

Output
**D(E_F)**: 1.317 states/eV per atom
**Formation enthalpy at 0 K**: -0.1889 eV per atom

Structure (CIF):
```
data_Pm2PuZnRu2
_chemical_formula_sum 'Pm8 Pu4 Zn4 Ru8'
_symmetry_space_group_name_H-M 'I b a m'
_symmetry_Int_Tables_number 72
_symmetry_space_group_name_Hall '-I 2 2c'
_cell_length_a 6.049
_cell_length_b 14.315
_cell_length_c 6.240
_cell_angle_alpha 90.00
_cell_angle_beta 90.00
_cell_angle_gamma 90.00
loop_
_atom_site_label
_atom_site_type_symbol
_atom_site_fract_x
_atom_site_fract_y
_atom_site_fract_z
_atom_site_occupancy
Pm1 Pm 0.212 0.175 0.000 1
Pu1 Pu 0.000 0.500 0.250 1
Zn1 Zn 0.000 0.000 0.250 1
Ru1 Ru 0.223 0.386 0.000 1
```

=====

First-principles (PBE) data for PmPuS2 after structural relaxation, as listed in Alexandria via LeMat-Bulk.

Output
**Raw formation energy**: -1812.6 meV/atom
**D(E_F)**: 1.587 states/eV per atom
**Polymorph energy (0 for the lowest one)**: 107 meV/atom

Structure (CIF):
```
data_PmPuS2
_chemical_formula_sum 'Pm3 Pu3 S6'
_symmetry_space_group_name_H-M 'R 3 m'
_symmetry_Int_Tables_number 160
_symmetry_space_group_name_Hall 'R 3 -2"'
_cell_length_a 3.8911
_cell_length_b 3.8911
_cell_length_c 20.9729
_cell_angle_alpha 90.00
_cell_angle_beta 90.00
_cell_angle_gamma 120.00
loop_
_atom_site_label
_atom_site_type_symbol
_atom_site_fract_x
_atom_site_fract_y
_atom_site_fract_z
_atom_site_occupancy
Pm1 Pm 0.0000 0.0000 0.0000 1
Pu1 Pu 0.0000 0.0000 0.1754 1
S1 S 0.0000 0.0000 0.5841 1
S2 S 0.0000 0.0000 0.7573 1
```

=====

First-principles (PBE) data for PmPu3S4 after structural relaxation, as listed in Alexandria via LeMat-Bulk.

Output
**Raw formation energy**: -1840.6 meV/atom
**D(E_F)**: 3.009 states/eV per atom
**Polymorph energy (0 for the lowest one)**: 0 meV/atom

Structure (CIF):
```
data_PmPu3S4
_chemical_formula_sum 'Pm2 Pu6 S8'
_symmetry_space_group_name_H-M 'C m m m'
_symmetry_Int_Tables_number 65
_symmetry_space_group_name_Hall '-C 2 2'
_cell_length_a 7.968
_cell_length_b 11.257
_cell_length_c 3.979
_cell_angle_alpha 90.00
_cell_angle_beta 90.00
_cell_angle_gamma 90.00
loop_
_atom_site_label
_atom_site_type_symbol
_atom_site_fract_x
_atom_site_fract_y
_atom_site_fract_z
_atom_site_occupancy
Pm1 Pm 0.000 0.000 0.000 1
Pu1 Pu 0.000 0.500 0.000 1
Pu2 Pu 0.250 0.250 0.500 1
S1 S 0.000 0.253 0.000 1
S2 S 0.244 0.500 0.500 1
```

=====

First-principles (PBE) data for PmPu2S5 after structural relaxation, as listed in Alexandria via LeMat-Bulk.

Output
**Raw formation energy**: -1441.1 meV/atom
**D(E_F)**: 2.006 states/eV per atom

Structure (CIF):
```
data_PmPu2S5
_chemical_formula_sum 'Pm4 Pu8 S20'
_symmetry_space_group_name_H-M 'F m m m'
_symmetry_Int_Tables_number 69
_symmetry_space_group_name_Hall '-F 2 2'
_cell_length_a 5.397
_cell_length_b 8.570
_cell_length_c 15.505
_cell_angle_alpha 90.00
_cell_angle_beta 90.00
_cell_angle_gamma 90.00
loop_
_atom_site_label
_atom_site_type_symbol
_atom_site_fract_x
_atom_site_fract_y
_atom_site_fract_z
_atom_site_occupancy
Pm1 Pm 0.000 0.000 0.000 1
Pu1 Pu 0.000 0.000 0.322 1
S1 S 0.000 0.000 0.500 1
S2 S 0.000 0.164 0.161 1
```

=====

First-principles (PBE) data for Pm2PuS3 after structural relaxation, as listed in Alexandria via LeMat-Bulk.

Output
**Raw formation energy**: -1967.3 meV/atom
**D(E_F)**: 1.289 states/eV per atom

Structure (CIF):
```
data_Pm2PuS3
_chemical_formula_sum 'Pm4 Pu2 S6'
_symmetry_space_group_name_H-M 'I m m m'
_symmetry_Int_Tables_number 71
_symmetry_space_group_name_Hall '-I 2 2'
_cell_length_a 4.005
_cell_length_b 5.658
_cell_length_c 12.050
_cell_angle_alpha 90.00
_cell_angle_beta 90.00
_cell_angle_gamma 90.00
loop_
_atom_site_label
_atom_site_type_symbol
_atom_site_fract_x
_atom_site_fract_y
_atom_site_fract_z
_atom_site_occupancy
Pm1 Pm 0.000 0.000 0.169 1
Pu1 Pu 0.000 0.000 0.500 1
S1 S 0.000 0.500 0.162 1
S2 S 0.000 0.500 0.500 1
```

=====

- What is the D(E_F) in the fourth record?
  1.310 states/eV per atom

=====

- The lowest D(E_F) belongs to which entry?
  Pm2PuS3